MnBeV2: relaxed, PBE-GGA.

Cell and atoms, written as CIF:
```
data_MnBeV2
_symmetry_space_group_name_H-M 'P 4/m m m'
_symmetry_Int_Tables_number 123
_symmetry_space_group_name_Hall '-P 4 2'
_cell_length_a 3.892
_cell_length_b 3.892
_cell_length_c 3.012
_cell_angle_alpha 90.00
_cell_angle_beta 90.00
_cell_angle_gamma 90.00
loop_
_atom_site_label
_atom_site_type_symbol
_atom_site_fract_x
_atom_site_fract_y
_atom_site_fract_z
Mn1 Mn 0.000 0.000 0.000
Be1 Be 0.500 0.500 0.000
V1 V 0.000 0.500 0.500
```

## Properties
The energy relative to the elements is -0.4 eV/f.u. Its energy is -7.888 eV/atom. The calculation puts the total magnetization at 0.000 μB per formula unit.